Below is an optimized crystal structure of LiMg3Tl4, with properties calculated at the PBE level.

a = 3.618 Å, b = 4.920 Å, c = 11.252 Å
α = 90.00°, β = 90.00°, γ = 90.00°
Positions (direct):
Li 0.500 0.500 0.095
Mg 0.000 0.000 0.401
Tl 0.000 0.500 0.876
Tl 0.000 0.000 0.131
Mg 0.000 0.500 0.601
Tl 0.500 0.000 0.634
Mg 0.500 0.000 0.904
Tl 0.500 0.500 0.359

Calculated values
Energy relative to the elements = -0.04 eV/atom
Offset from the most stable computed form = 4.8 kJ/mol of atoms